[1]
Here is a relaxed structure of Tb3Zn4Pt4 from Alexandria via LeMat-Bulk. Energies are from PBE-GGA.

Calculated values
The total magnetic moment is 0.000 μB/f.u. The raw total energy comes out at -4.8238 eV/atom.

Cell: 4.0200 7.4661 14.1608 Å, 90.00 90.00 90.00°
Space group Immm (No. 71)
Asymmetric unit:
Tb 0.0000 0.0000 0.0000 x2
Tb 0.0000 0.5000 0.1243 x4
Zn 0.0000 0.3022 0.3266 x8
Pt 0.0000 0.0000 0.2198 x4
Pt 0.0000 0.1961 0.5000 x4

***

[2]
Here is a relaxed structure of Tb3Zn2Pt6 from Alexandria via LeMat-Bulk. Energies are from PBE-GGA.

Calculated values
The total magnetic moment is 0.000 μB/f.u. The raw total energy comes out at -5.7612 eV/atom.

Cell: 9.5467 9.5467 9.5467 Å, 90.00 90.00 90.00°
Space group Im-3m (No. 229)
Asymmetric unit:
Tb 0.0000 0.0000 0.3041 x12
Zn 0.2500 0.2500 0.2500 x8
Pt 0.0000 0.3277 0.3277 x24

***

[3]
Here is a relaxed structure of Tb8ZnPt2 from Alexandria via LeMat-Bulk. Energies are from PBE-GGA.

Calculated values
The total magnetic moment is 0.000 μB/f.u. The raw total energy comes out at -5.0019 eV/atom.

Cell: 8.5666 13.3133 5.6198 Å, 90.00 105.47 90.00°
Space group Cm (No. 8)
Asymmetric unit:
Tb 0.0000 0.0000 0.0000 x2
Tb 0.0817 0.3739 0.7742 x4
Tb 0.1702 0.1264 0.5936 x4
Tb 0.2573 0.5000 0.3794 x2
Tb 0.3740 0.2361 0.1888 x4
Zn 0.3742 0.0000 0.2570 x2
Pt 0.3763 0.3048 0.6887 x4

***

[4]
Here is a relaxed structure of Tb2Zn5Pt3 from Alexandria via LeMat-Bulk. Energies are from PBE-GGA.

Calculated values
The total magnetic moment is 0.000 μB/f.u. The raw total energy comes out at -4.0955 eV/atom.

Cell: 4.2915 24.7030 6.9340 Å, 90.00 90.00 90.00°
Space group Cmc2_1 (No. 36)
Asymmetric unit:
Tb 0.0000 0.0221 0.0000 x4
Tb 0.0000 0.3227 0.9302 x4
Zn 0.0000 0.1041 0.6425 x4
Zn 0.0000 0.2042 0.1060 x4
Zn 0.0000 0.2068 0.7255 x4
Zn 0.0000 0.3722 0.4782 x4
Zn 0.0000 0.4464 0.8251 x4
Pt 0.0000 0.1101 0.2591 x4
Pt 0.0000 0.2662 0.4125 x4
Pt 0.0000 0.4520 0.2141 x4

***

[5]
Here is a relaxed structure of Tb3Zn4Pt2 from Alexandria via LeMat-Bulk. Energies are from PBE-GGA.

Calculated values
The total magnetic moment is 0.000 μB/f.u. The raw total energy comes out at -4.1947 eV/atom.

Cell: 10.6425 4.4341 8.4844 Å, 90.00 115.38 90.00°
Space group C2/m (No. 12)
Asymmetric unit:
Tb 0.0000 0.0000 0.0000 x2
Tb 0.1832 0.5000 0.6443 x4
Zn 0.0280 0.0000 0.3691 x4
Zn 0.2164 0.5000 0.0466 x4
Pt 0.0979 0.5000 0.2643 x4

***

[6]
Here is a relaxed structure of TbZnPt from Alexandria via LeMat-Bulk. Energies are from PBE-GGA.

Calculated values
The total magnetic moment is 0.000 μB/f.u. The raw total energy comes out at -4.9023 eV/atom.

Cell: 3.9834 4.2337 7.1692 Å, 90.00 90.00 90.00°
Space group Pmmn (No. 59, origin choice 2)
Asymmetric unit:
Tb 0.2500 0.2500 0.1589 x2
Zn 0.2500 0.7500 0.5021 x2
Pt 0.2500 0.2500 0.7465 x2

***

[7]
Here is a relaxed structure of TbZnPt from Alexandria via LeMat-Bulk. Energies are from PBE-GGA.

Calculated values
The total magnetic moment is 0.000 μB/f.u. The raw total energy comes out at -4.7779 eV/atom.

Cell: 4.8634 5.2906 5.2942 Å, 90.00 116.54 90.00°
Space group P2_1/m (No. 11)
Asymmetric unit:
Tb 0.0271 0.2500 0.2550 x2
Zn 0.3549 0.2500 0.8821 x2
Pt 0.2816 0.7500 0.3706 x2

***

[8]
Here is a relaxed structure of TbZn2Pt6 from Alexandria via LeMat-Bulk. Energies are from PBE-GGA.

Calculated values
The total magnetic moment is 0.000 μB/f.u. The raw total energy comes out at -5.0919 eV/atom.

Cell: 11.2639 11.2639 11.2639 Å, 90.00 90.00 90.00°
Space group Fd-3m (No. 227, origin choice 2)
Asymmetric unit:
Tb 0.1250 0.1250 0.1250 x8
Zn 0.0000 0.0000 0.5000 x16
Pt 0.1169 0.3750 0.3750 x48

***

[9]
Here is a relaxed structure of Tb2Zn9Pt3 from Alexandria via LeMat-Bulk. Energies are from PBE-GGA.

Calculated values
The total magnetic moment is 0.000 μB/f.u. The raw total energy comes out at -3.3248 eV/atom.

Cell: 13.5555 7.4509 10.4781 Å, 90.00 115.94 90.00°
Space group C2/c (No. 15)
Asymmetric unit:
Tb 0.1695 0.0749 0.2369 x8
Zn 0.0000 0.3522 0.2500 x4
Zn 0.0548 0.1039 0.9038 x8
Zn 0.0968 0.4188 0.0507 x8
Zn 0.1015 0.3362 0.7445 x8
Zn 0.2140 0.4107 0.4274 x8
Pt 0.0894 0.2164 0.5052 x8
Pt 0.2500 0.2500 0.0000 x4

***

[10]
Here is a relaxed structure of Tb2Zn3Pt2 from Alexandria via LeMat-Bulk. Energies are from PBE-GGA.

Calculated values
The total magnetic moment is 0.000 μB/f.u. The raw total energy comes out at -4.4156 eV/atom.

Cell: 9.8007 4.2757 6.9265 Å, 90.00 111.76 90.00°
Space group C2/m (No. 12)
Asymmetric unit:
Tb 0.1466 0.0000 0.2685 x4
Zn 0.0000 0.5000 0.5000 x2
Zn 0.1218 0.5000 0.9384 x4
Pt 0.1439 0.0000 0.7012 x4

***

[11]
Here is a relaxed structure of TbZn9Pt2 from Alexandria via LeMat-Bulk. Energies are from PBE-GGA.

Calculated values
The total magnetic moment is 0.000 μB/f.u. The raw total energy comes out at -2.6549 eV/atom. As for the excess energy over the best structure of this formula in the dataset: 87 meV/atom.

Cell: 8.7564 8.7564 2.9711 Å, 90.00 90.00 120.00°
Space group P6/mmm (No. 191)
Asymmetric unit:
Tb 0.0000 0.0000 0.0000 x1
Zn 0.0000 0.5000 0.0000 x3
Zn 0.1825 0.3650 0.5000 x6
Pt 0.3333 0.6667 0.0000 x2

***

[12]
Here is a relaxed structure of TbZn8Pt4 from Alexandria via LeMat-Bulk. Energies are from PBE-GGA.

Calculated values
The total magnetic moment is 0.000 μB/f.u. The raw total energy comes out at -3.5229 eV/atom.

Cell: 8.7828 8.7828 5.4982 Å, 90.00 90.00 90.00°
Space group I4/mmm (No. 139)
Asymmetric unit:
Tb 0.0000 0.0000 0.0000 x2
Zn 0.0000 0.2163 0.5000 x8
Zn 0.0000 0.3465 0.0000 x8
Pt 0.2500 0.2500 0.2500 x8

***

[13]
Here is a relaxed structure of TbZnPt from Alexandria via LeMat-Bulk. Energies are from PBE-GGA.

Calculated values
The total magnetic moment is 0.000 μB/f.u. The raw total energy comes out at -4.7773 eV/atom.

Cell: 6.4980 6.4980 6.4980 Å, 90.00 90.00 90.00°
Space group F-43m (No. 216)
Asymmetric unit:
Tb 0.0000 0.0000 0.0000 x4
Zn 0.0000 0.0000 0.5000 x4
Pt 0.2500 0.2500 0.7500 x4

***

[14]
Here is a relaxed structure of TbZrZnPt from Alexandria via LeMat-Bulk. Energies are from PBE-GGA.

Calculated values
The total magnetic moment is 0.000 μB/f.u. The raw total energy comes out at -5.7250 eV/atom.

Cell: 6.8909 6.8909 6.8909 Å, 90.00 90.00 90.00°
Space group F-43m (No. 216)
Asymmetric unit:
Tb 0.0000 0.0000 0.0000 x4
Zr 0.0000 0.0000 0.5000 x4
Zn 0.2500 0.2500 0.2500 x4
Pt 0.2500 0.2500 0.7500 x4

***

[15]
Here is a relaxed structure of Tb2ZrPt9 from Alexandria via LeMat-Bulk. Energies are from PBE-GGA.

Calculated values
The total magnetic moment is 0.000 μB/f.u. The raw total energy comes out at -7.0566 eV/atom.

Cell: 4.1027 4.1027 12.3133 Å, 90.00 90.00 90.00°
Space group P4/mmm (No. 123)
Asymmetric unit:
Tb 0.0000 0.0000 0.1670 x2
Zr 0.0000 0.0000 0.5000 x1
Pt 0.0000 0.5000 0.0000 x2
Pt 0.0000 0.5000 0.3402 x4
Pt 0.5000 0.5000 0.1702 x2
Pt 0.5000 0.5000 0.5000 x1

***

[16]
Here is a relaxed structure of TbZr2Pt9 from Alexandria via LeMat-Bulk. Energies are from PBE-GGA.

Calculated values
The total magnetic moment is 0.000 μB/f.u. The raw total energy comes out at -7.3907 eV/atom.

Cell: 4.0796 4.0796 12.2378 Å, 90.00 90.00 90.00°
Space group P4/mmm (No. 123)
Asymmetric unit:
Tb 0.0000 0.0000 0.0000 x1
Zr 0.0000 0.0000 0.3336 x2
Pt 0.0000 0.5000 0.1739 x4
Pt 0.0000 0.5000 0.5000 x2
Pt 0.5000 0.5000 0.0000 x1
Pt 0.5000 0.5000 0.3370 x2

***

[17]
Here is a relaxed structure of Tb3ZrPt12 from Alexandria via LeMat-Bulk. Energies are from PBE-GGA.

Calculated values
The total magnetic moment is 0.000 μB/f.u. The raw total energy comes out at -6.9629 eV/atom.

Cell: 4.1100 4.1100 16.4491 Å, 90.00 90.00 90.00°
Space group P4/mmm (No. 123)
Asymmetric unit:
Tb 0.0000 0.0000 0.0000 x1
Tb 0.0000 0.0000 0.2508 x2
Zr 0.0000 0.0000 0.5000 x1
Pt 0.0000 0.5000 0.1263 x4
Pt 0.0000 0.5000 0.3806 x4
Pt 0.5000 0.5000 0.0000 x1
Pt 0.5000 0.5000 0.2535 x2
Pt 0.5000 0.5000 0.5000 x1

***

[18]
Here is a relaxed structure of Tb2Zr3Pt4 from Alexandria via LeMat-Bulk. Energies are from PBE-GGA.

Calculated values
The total magnetic moment is 0.000 μB/f.u. The raw total energy comes out at -7.5979 eV/atom.

Cell: 7.0634 7.7349 7.5335 Å, 90.00 110.14 90.00°
Space group P2_1/c (No. 14)
Asymmetric unit:
Tb 0.1939 0.1734 0.0731 x4
Zr 0.2516 0.6622 0.2524 x4
Zr 0.5000 0.0000 0.5000 x2
Pt 0.0890 0.5471 0.8630 x4
Pt 0.4996 0.1327 0.8719 x4